Record 1
Computed, not measured: crystalline Ti2NbPbS at its relaxed geometry at the PBE level of DFT.

E_form (uncorrected) ... -210 meV per atom
Magnetization ... 1.296 μB/cell
DOS(E_F) ... 1.171 states/eV per atom

The structure in POSCAR format:
```
Ti2NbPbS
1.0
-2.9475 1.7364 2.9885
-3.5295 -0.9120 -2.9512
-0.5115 -4.1035 1.8798
Ti S Pb Nb
2 1 1 1
direct
0.5000 0.0000 0.0000 Ti
0.0000 0.0000 0.5000 Ti
0.0000 0.0000 0.0000 S
0.5000 0.5000 0.5000 Pb
0.0000 0.5000 0.0000 Nb
```


Record 2
Computed, not measured: crystalline NbSbPb3 at its relaxed geometry at the PBE level of DFT.

E_form (uncorrected) ... 622 meV per atom
Magnetization ... 0.001 μB/cell
DOS(E_F) ... 1.510 states/eV per atom

The structure in POSCAR format:
```
NbSbPb3
1.0
5.5368 0.0000 0.0000
0.0000 5.5368 0.0000
0.0000 0.0000 5.5368
Nb Pb Sb
1 3 1
direct
0.0000 0.0000 0.0000 Nb
0.5000 0.0000 0.0000 Pb
0.0000 0.0000 0.5000 Pb
0.0000 0.5000 0.0000 Pb
0.5000 0.5000 0.5000 Sb
```


Record 3
Computed, not measured: crystalline NbSbPb3 at its relaxed geometry at the PBE level of DFT.

E_form (uncorrected) ... 1500 meV per atom
Magnetization ... 0.174 μB/cell
DOS(E_F) ... 2.179 states/eV per atom

The structure in POSCAR format:
```
NbSbPb3
1.0
-5.4419 -1.7410 -0.5731
1.7095 -5.4687 0.3812
-0.6613 0.1907 5.7009
Pb Sb Nb
3 1 1
direct
0.0000 0.5000 0.0000 Pb
0.0000 0.0000 0.5000 Pb
0.5000 0.0000 0.0000 Pb
0.0000 0.0000 0.0000 Sb
0.5000 0.5000 0.5000 Nb
```


Question: What is the formula in the second record?
Answer: NbSbPb3


Question: Which of these has the lowest magnetization?
Answer: number 2


Question: Look up the E_form (uncorrected) of the second one.
Answer: 622 meV per atom


Question: Which formula does entry 2 have?
Answer: NbSbPb3